DFT (PBE-GGA) results for TaCoPt2 after structural relaxation.

Its space-group type is R-3m (166). The formation energy is -0.196 eV per atom.

a = 2.805 Å, b = 2.805 Å, c = 26.761 Å
α = 90.00°, β = 90.00°, γ = 120.00°
Atoms (fractional coordinates):
1 Ta 0.000 0.000 0.000
2 Ta 0.333 0.667 0.667
3 Ta 0.667 0.333 0.333
4 Co 0.000 0.000 0.500
5 Co 0.333 0.667 0.167
6 Co 0.667 0.333 0.833
7 Pt 0.000 0.000 0.246
8 Pt 0.000 0.000 0.754
9 Pt 0.333 0.667 0.420
10 Pt 0.333 0.667 0.913
11 Pt 0.667 0.333 0.087
12 Pt 0.667 0.333 0.580

DFT (PBE-GGA) results for ZnFe2Br after structural relaxation.

Its space-group type is P4/mmm (123). The value obtained for the energy relative to the elements, uncorrected is 1.721 eV per formula unit.

a = 3.223 Å, b = 3.223 Å, c = 6.182 Å
α = 90.00°, β = 90.00°, γ = 90.00°
Atoms (fractional coordinates):
1 Zn 0.000 0.000 0.000
2 Fe 0.500 0.500 0.191
3 Fe 0.500 0.500 0.809
4 Br 0.000 0.000 0.500

DFT (PBE-GGA) results for PrNdHo3Er after structural relaxation.

Its space-group type is C2/m (12). The formation energy is 0.191 eV per atom.

a = 10.183 Å, b = 10.183 Å, c = 7.125 Å
α = 90.37°, β = 90.37°, γ = 32.27°
Atoms (fractional coordinates):
1 Pr 0.147 0.147 0.031
2 Pr 0.853 0.853 0.969
3 Nd 0.449 0.449 0.736
4 Nd 0.551 0.551 0.264
5 Ho 0.023 0.023 0.738
6 Ho 0.280 0.280 0.753
7 Ho 0.334 0.334 0.267
8 Ho 0.666 0.666 0.733
9 Ho 0.720 0.720 0.247
10 Ho 0.977 0.977 0.262
11 Er 0.150 0.150 0.458
12 Er 0.850 0.850 0.542

DFT (PBE-GGA) results for TmAl4Pb after structural relaxation.

Its space-group type is F-43m (216). The formation energy is -0.143 eV per atom.

a = 5.591 Å, b = 5.591 Å, c = 5.591 Å
α = 60.00°, β = 60.00°, γ = 60.00°
Atoms (fractional coordinates):
1 Tm 0.000 0.000 0.000
2 Al 0.124 0.625 0.625
3 Al 0.625 0.124 0.625
4 Al 0.625 0.625 0.124
5 Al 0.625 0.625 0.625
6 Pb 0.250 0.250 0.250

DFT (PBE-GGA) results for Zn8H after structural relaxation.

The value obtained for the total energy is -12.4 eV per cell. Its space-group type is P-3m1 (164).

a = 5.249 Å, b = 5.249 Å, c = 5.381 Å
α = 90.00°, β = 90.00°, γ = 120.00°
Atoms (fractional coordinates):
1 Zn 0.168 0.335 0.228
2 Zn 0.168 0.832 0.228
3 Zn 0.333 0.667 0.728
4 Zn 0.335 0.168 0.772
5 Zn 0.665 0.832 0.228
6 Zn 0.667 0.333 0.272
7 Zn 0.832 0.168 0.772
8 Zn 0.832 0.665 0.772
9 H 0.000 0.000 0.500

DFT (PBE-GGA) results for TmUFe after structural relaxation.

Its space-group type is P2_1/c (14). The formation energy is -0.048 eV per atom.

a = 6.631 Å, b = 5.781 Å, c = 6.691 Å
α = 90.00°, β = 104.54°, γ = 90.00°
Atoms (fractional coordinates):
1 Tm 0.152 0.129 0.366
2 Tm 0.152 0.371 0.866
3 Tm 0.848 0.629 0.134
4 Tm 0.848 0.871 0.634
5 U 0.414 0.634 0.342
6 U 0.414 0.866 0.842
7 U 0.586 0.134 0.158
8 U 0.586 0.366 0.658
9 Fe 0.179 0.615 0.515
10 Fe 0.179 0.885 0.015
11 Fe 0.821 0.115 0.985
12 Fe 0.821 0.385 0.485

DFT (PBE-GGA) results for LaZnRh2 after structural relaxation.

Its space-group type is Cm (8). The formation energy is -0.428 eV per atom.

a = 9.681 Å, b = 3.781 Å, c = 4.199 Å
α = 90.00°, β = 105.94°, γ = 90.00°
Atoms (fractional coordinates):
1 La 0.000 0.000 0.000
2 La 0.500 0.500 0.000
3 Zn 0.248 0.000 0.639
4 Zn 0.748 0.500 0.639
5 Rh 0.028 0.500 0.534
6 Rh 0.259 0.500 0.180
7 Rh 0.528 0.000 0.534
8 Rh 0.759 0.000 0.180

DFT (PBE-GGA) results for CaPu2Co after structural relaxation.

Its space-group type is R-3m (166). The formation energy is 0.580 eV per atom.

a = 4.385 Å, b = 4.385 Å, c = 18.134 Å
α = 90.00°, β = 90.00°, γ = 120.00°
Atoms (fractional coordinates):
1 Ca 0.000 0.000 0.000
2 Ca 0.333 0.667 0.667
3 Ca 0.667 0.333 0.333
4 Pu 0.000 0.000 0.180
5 Pu 0.000 0.000 0.820
6 Pu 0.333 0.667 0.486
7 Pu 0.333 0.667 0.847
8 Pu 0.667 0.333 0.153
9 Pu 0.667 0.333 0.514
10 Co 0.000 0.000 0.500
11 Co 0.333 0.667 0.167
12 Co 0.667 0.333 0.833